# 1
Te2RuAu PBE optimized geometry; E above lowest polymorph = 193 meV/atom; M_tot = 0.0 μB per cell; total energy = -4.550 eV/atom; E_form (uncorrected) = 0.159 eV/atom; SG = Cm
1.0
5.0038 -1.7887 0.0000
5.0038 1.7887 0.0000
-1.5700 0.0000 5.8046
Te Ru Au
2 1 1
Cartesian
0.0000 0.0000 0.0000 Te
1.1504 0.0000 3.4146 Te
4.9774 0.0000 1.8747 Ru
7.8256 0.0000 1.8260 Au

***

# 2
TeRuAu PBE optimized geometry; E above lowest polymorph = 16 meV/atom; M_tot = 0.0 μB per cell; total energy = -4.982 eV/atom; E_form (uncorrected) = 0.250 eV/atom; SG = F-43m
1.0
0.0000 3.1572 3.1572
3.1572 0.0000 3.1572
3.1572 3.1572 0.0000
Te Ru Au
1 1 1
Cartesian
0.0000 0.0000 0.0000 Te
1.5786 1.5786 1.5786 Ru
3.1572 3.1572 3.1572 Au

***

# 3
Te2RuAu PBE optimized geometry; E above lowest polymorph = 772 meV/atom; M_tot = 0.6 μB per cell; total energy = -3.971 eV/atom; E_form (uncorrected) = 0.738 eV/atom; SG = F-43m
1.0
0.0000 3.4890 3.4890
3.4890 0.0000 3.4890
3.4890 3.4890 0.0000
Te Ru Au
2 1 1
Cartesian
0.0000 0.0000 0.0000 Te
1.7445 1.7445 1.7445 Te
3.4890 3.4890 3.4890 Ru
5.2335 5.2335 5.2335 Au

***

# 4
TeRuAu2 PBE optimized geometry; M_tot = 1.8 μB per cell; total energy = -4.209 eV/atom; E_form (uncorrected) = 0.534 eV/atom; SG = R-3m
1.0
1.5050 0.8689 10.1537
-1.5050 0.8689 10.1537
0.0000 -1.7378 10.1537
Te Ru Au
1 1 2
Cartesian
0.0000 0.0000 0.0000 Te
0.0000 0.0000 15.2305 Ru
0.0000 0.0000 7.2964 Au
0.0000 0.0000 23.1647 Au

***

# 5
Te2RuAu PBE optimized geometry; E above lowest polymorph = 251 meV/atom; M_tot = 0.0 μB per cell; total energy = -4.493 eV/atom; E_form (uncorrected) = 0.217 eV/atom; SG = P2/m
1.0
3.2004 0.0000 0.0000
0.0000 3.3130 0.0000
-0.2601 0.0000 8.2820
Te Ru Au
2 1 1
Cartesian
-0.0122 0.0000 1.6798 Te
2.9525 0.0000 6.6022 Te
1.6002 1.6565 0.0000 Ru
-0.1301 1.6565 4.1410 Au

***

# 6
TeRu2Au PBE optimized geometry; M_tot = 1.5 μB per cell; total energy = -5.620 eV/atom; E_form (uncorrected) = 0.623 eV/atom; SG = F-43m
1.0
0.0000 3.2684 3.2684
3.2684 0.0000 3.2684
3.2684 3.2684 0.0000
Te Ru Au
1 2 1
Cartesian
0.0000 0.0000 0.0000 Te
1.6342 1.6342 1.6342 Ru
3.2684 3.2684 3.2684 Ru
4.9026 4.9026 4.9026 Au